Density functional theory data (PBE) for Sm2ScGa4Cu3 after structural relaxation.

```
Sm2ScGa4Cu3
1.0
4.1375 0.0000 0.0000
0.0000 4.1375 0.0000
0.0000 0.0000 11.1518
Cu Ga Sm Sc
3 4 2 1
Direct
0.0000 0.5000 0.1248 Cu
0.5000 0.0000 0.8752 Cu
0.0000 0.0000 0.5000 Cu
0.5000 0.5000 0.0000 Ga
0.0000 0.5000 0.3408 Ga
0.0000 0.0000 0.0000 Ga
0.5000 0.0000 0.6592 Ga
0.0000 0.5000 0.7686 Sm
0.5000 0.0000 0.2314 Sm
0.5000 0.5000 0.5000 Sc
```

Computed properties:
As for the formation energy: -0.45 eV per atom. The value obtained for the density of states at the Fermi level is 0.682 states/eV per atom.